No. 1
A relaxed structure of Lu2ZnAu, computed with GGA-PBE.

Computed properties:
* magnetization: 0.0 μB per cell
* distance to the lowest polymorph of the same formula: 55 meV/atom
* space group: P6_3/mmc (194)
* electronic total energy: -3.71 eV per atom
* formation enthalpy at 0 K: -0.314 eV per atom

Cell: 4.1837 4.1837 13.1561 Å, 90.00 90.00 120.00°
Fractional coordinates of all 8 atoms:
1 Lu 0.3333 0.6667 0.1152
2 Lu 0.3333 0.6667 0.3848
3 Lu 0.6667 0.3333 0.6152
4 Lu 0.6667 0.3333 0.8848
5 Zn 0.3333 0.6667 0.7500
6 Zn 0.6667 0.3333 0.2500
7 Au 0.0000 0.0000 0.0000
8 Au 0.0000 0.0000 0.5000

No. 2
A relaxed structure of LuZnAu2, computed with GGA-PBE.

Computed properties:
* magnetization: 0.0 μB per cell
* space group: F-43m (216)
* electronic total energy: -3.62 eV per atom
* formation enthalpy at 0 K: -0.535 eV per atom

Cell: 6.7114 6.7114 6.7114 Å, 90.00 90.00 90.00°
Fractional coordinates of all 16 atoms:
1 Lu 0.0000 0.0000 0.0000
2 Lu 0.0000 0.5000 0.5000
3 Lu 0.5000 0.0000 0.5000
4 Lu 0.5000 0.5000 0.0000
5 Zn 0.2500 0.2500 0.7500
6 Zn 0.2500 0.7500 0.2500
7 Zn 0.7500 0.2500 0.2500
8 Zn 0.7500 0.7500 0.7500
9 Au 0.0000 0.0000 0.5000
10 Au 0.0000 0.5000 0.0000
11 Au 0.2500 0.2500 0.2500
12 Au 0.2500 0.7500 0.7500
13 Au 0.5000 0.0000 0.0000
14 Au 0.5000 0.5000 0.5000
15 Au 0.7500 0.2500 0.7500
16 Au 0.7500 0.7500 0.2500

No. 3
A relaxed structure of Lu2ZnAu, computed with GGA-PBE.

Computed properties:
* magnetization: 0.0 μB per cell
* distance to the lowest polymorph of the same formula: 3 meV/atom
* space group: P6_3/mmc (194)
* electronic total energy: -3.76 eV per atom
* formation enthalpy at 0 K: -0.365 eV per atom

Cell: 4.5642 4.5642 10.0926 Å, 90.00 90.00 120.00°
Fractional coordinates of all 8 atoms:
1 Lu 0.3333 0.6667 0.1004
2 Lu 0.3333 0.6667 0.3996
3 Lu 0.6667 0.3333 0.6004
4 Lu 0.6667 0.3333 0.8996
5 Zn 0.0000 0.0000 0.2500
6 Zn 0.0000 0.0000 0.7500
7 Au 0.3333 0.6667 0.7500
8 Au 0.6667 0.3333 0.2500

No. 4
A relaxed structure of LuZrAu, computed with GGA-PBE.

Computed properties:
* magnetization: 0.1 μB per cell
* distance to the lowest polymorph of the same formula: 0 meV/atom
* space group: F-43m (216)
* electronic total energy: -5.65 eV per atom
* formation enthalpy at 0 K: -0.206 eV per atom

Cell: 6.7189 6.7189 6.7189 Å, 90.00 90.00 90.00°
Fractional coordinates of all 12 atoms:
1 Lu 0.0000 0.0000 0.0000
2 Lu 0.0000 0.5000 0.5000
3 Lu 0.5000 0.0000 0.5000
4 Lu 0.5000 0.5000 0.0000
5 Zr 0.0000 0.0000 0.5000
6 Zr 0.0000 0.5000 0.0000
7 Zr 0.5000 0.0000 0.0000
8 Zr 0.5000 0.5000 0.5000
9 Au 0.2500 0.2500 0.2500
10 Au 0.2500 0.7500 0.7500
11 Au 0.7500 0.2500 0.7500
12 Au 0.7500 0.7500 0.2500

No. 5
A relaxed structure of Mg3Au2, computed with GGA-PBE.

Computed properties:
* space group: R-3c (167)
* electronic total energy: -2.60 eV per atom

Cell: 7.2500 7.2500 7.2500 Å, 51.65 51.65 51.65°
Fractional coordinates of all 10 atoms:
1 Mg 0.1352 0.7500 0.3648
2 Mg 0.2500 0.6352 0.8648
3 Mg 0.3648 0.1352 0.7500
4 Mg 0.6352 0.8648 0.2500
5 Mg 0.7500 0.3648 0.1352
6 Mg 0.8648 0.2500 0.6352
7 Au 0.1768 0.1768 0.1768
8 Au 0.3232 0.3232 0.3232
9 Au 0.6768 0.6768 0.6768
10 Au 0.8232 0.8232 0.8232

No. 6
A relaxed structure of Mg3AuN, computed with GGA-PBE.

Computed properties:
* space group: Pm-3m (221)
* electronic total energy: -3.85 eV per atom

Cell: 4.2478 4.2478 4.2478 Å, 90.00 90.00 90.00°
Fractional coordinates of all 5 atoms:
1 Mg 0.0000 0.0000 0.5000
2 Mg 0.0000 0.5000 0.0000
3 Mg 0.5000 0.0000 0.0000
4 Au 0.5000 0.5000 0.5000
5 N 0.0000 0.0000 0.0000

No. 7
A relaxed structure of MgAuNO, computed with GGA-PBE.

Computed properties:
* distance to the lowest polymorph of the same formula: 179 meV/atom
* space group: Pmc2_1 (26)
* electronic total energy: -4.71 eV per atom

Cell: 3.5093 6.1171 5.0552 Å, 90.00 90.00 90.00°
Fractional coordinates of all 8 atoms:
1 Mg 0.0000 0.1454 0.0000
2 Mg 0.0000 0.8546 0.5000
3 Au 0.5000 0.3999 0.4971
4 Au 0.5000 0.6001 0.9971
5 N 0.5000 0.2818 0.8689
6 N 0.5000 0.7182 0.3689
7 O 0.0000 0.1584 0.3872
8 O 0.0000 0.8416 0.8872

No. 8
A relaxed structure of MgAuNO, computed with GGA-PBE.

Computed properties:
* distance to the lowest polymorph of the same formula: 213 meV/atom
* space group: P4/mmm (123)
* electronic total energy: -4.68 eV per atom

Cell: 3.2750 3.2750 4.2310 Å, 90.00 90.00 90.00°
Fractional coordinates of all 4 atoms:
1 Mg 0.0000 0.0000 0.0000
2 Au 0.5000 0.5000 0.5000
3 N 0.5000 0.5000 0.0000
4 O 0.0000 0.0000 0.5000